Run i
# Rb2GaGe (GGA-PBE, optimized geometry)
# M_tot: 0.25 μB per atom
# N(E_F): 0.577 states/eV per atom
data_Rb2GaGe
_symmetry_space_group_name_H-M 'F m -3 m'
_symmetry_Int_Tables_number 225
_symmetry_space_group_name_Hall '-F 4 2 3'
_cell_length_a 8.4305
_cell_length_b 8.4305
_cell_length_c 8.4305
_cell_angle_alpha 90.00
_cell_angle_beta 90.00
_cell_angle_gamma 90.00
loop_
_atom_site_label
_atom_site_type_symbol
_atom_site_fract_x
_atom_site_fract_y
_atom_site_fract_z
Rb1 Rb 0.2500 0.2500 0.2500
Ga1 Ga 0.0000 0.0000 0.0000
Ge1 Ge 0.0000 0.0000 0.5000

Run ii
# Rb2GaGe (GGA-PBE, optimized geometry)
# M_tot: 0.00 μB per atom
# N(E_F): 0.751 states/eV per atom
data_Rb2GaGe
_symmetry_space_group_name_H-M 'I -4 2 d'
_symmetry_Int_Tables_number 122
_symmetry_space_group_name_Hall 'I -4 2bw'
_cell_length_a 4.8795
_cell_length_b 4.8795
_cell_length_c 24.4236
_cell_angle_alpha 90.00
_cell_angle_beta 90.00
_cell_angle_gamma 90.00
loop_
_atom_site_label
_atom_site_type_symbol
_atom_site_fract_x
_atom_site_fract_y
_atom_site_fract_z
Rb1 Rb 0.2469 0.2500 0.1250
Ga1 Ga 0.0000 0.0000 0.0000
Ge1 Ge 0.0000 0.0000 0.5000

Run iii
# Rb2GaGe (GGA-PBE, optimized geometry)
# M_tot: 0.00 μB per atom
# N(E_F): 0.300 states/eV per atom
data_Rb2GaGe
_symmetry_space_group_name_H-M 'C 1 2 1'
_symmetry_Int_Tables_number 5
_cell_length_a 11.5710
_cell_length_b 6.7464
_cell_length_c 4.3679
_cell_angle_alpha 90.00
_cell_angle_beta 112.06
_cell_angle_gamma 90.00
loop_
_symmetry_equiv_pos_as_xyz
'x,y,z'
'-x,y,-z'
'x+1/2,y+1/2,z'
'-x+1/2,y+1/2,-z'
loop_
_atom_site_label
_atom_site_type_symbol
_atom_site_fract_x
_atom_site_fract_y
_atom_site_fract_z
Rb1 Rb 0.1801 0.0000 0.1800
Ga1 Ga 0.0000 0.6501 0.5000
Ge1 Ge 0.0000 0.4739 0.0000

Stability, highest: run iii

Run i
# RbGa3Ge (GGA-PBE, optimized geometry)
# M_tot: 0.00 μB per atom
# N(E_F): 0.246 states/eV per atom
data_RbGa3Ge
_symmetry_space_group_name_H-M 'C 1 2/c 1'
_symmetry_Int_Tables_number 15
_cell_length_a 11.1969
_cell_length_b 8.7845
_cell_length_c 11.0716
_cell_angle_alpha 90.00
_cell_angle_beta 106.97
_cell_angle_gamma 90.00
loop_
_symmetry_equiv_pos_as_xyz
'x,y,z'
'-x,-y,-z'
'-x,y,-z+1/2'
'x,-y,z+1/2'
'x+1/2,y+1/2,z'
'-x+1/2,-y+1/2,-z'
'-x+1/2,y+1/2,-z+1/2'
'x+1/2,-y+1/2,z+1/2'
loop_
_atom_site_label
_atom_site_type_symbol
_atom_site_fract_x
_atom_site_fract_y
_atom_site_fract_z
Rb1 Rb 0.0865 0.1945 0.1183
Ga1 Ga 0.1056 0.3875 0.6620
Ga2 Ga 0.1260 0.4944 0.8966
Ga3 Ga 0.1996 0.0222 0.8909
Ge1 Ge 0.0000 0.1598 0.7500
Ge2 Ge 0.2500 0.2500 0.5000

Run ii
# RbGa3Ge (GGA-PBE, optimized geometry)
# M_tot: 0.00 μB per atom
# N(E_F): 0.815 states/eV per atom
data_RbGa3Ge
_symmetry_space_group_name_H-M 'P m -3 m'
_symmetry_Int_Tables_number 221
_symmetry_space_group_name_Hall '-P 4 2 3'
_cell_length_a 5.7633
_cell_length_b 5.7633
_cell_length_c 5.7633
_cell_angle_alpha 90.00
_cell_angle_beta 90.00
_cell_angle_gamma 90.00
loop_
_atom_site_label
_atom_site_type_symbol
_atom_site_fract_x
_atom_site_fract_y
_atom_site_fract_z
Rb1 Rb 0.0000 0.0000 0.0000
Ga1 Ga 0.0000 0.0000 0.5000
Ge1 Ge 0.5000 0.5000 0.5000

Run iii
# RbGa3Ge (GGA-PBE, optimized geometry)
# M_tot: 0.00 μB per atom
# N(E_F): 0.646 states/eV per atom
data_RbGa3Ge
_symmetry_space_group_name_H-M 'P m -3 m'
_symmetry_Int_Tables_number 221
_symmetry_space_group_name_Hall '-P 4 2 3'
_cell_length_a 5.3428
_cell_length_b 5.3428
_cell_length_c 5.3428
_cell_angle_alpha 90.00
_cell_angle_beta 90.00
_cell_angle_gamma 90.00
loop_
_atom_site_label
_atom_site_type_symbol
_atom_site_fract_x
_atom_site_fract_y
_atom_site_fract_z
Rb1 Rb 0.0000 0.0000 0.0000
Ga1 Ga 0.0000 0.5000 0.5000
Ge1 Ge 0.5000 0.5000 0.5000

Stability, highest: run i

Run i
# Rb2Ga2Ge (GGA-PBE, optimized geometry)
# M_tot: 0.00 μB per atom
# N(E_F): 0.024 states/eV per atom
data_Rb2Ga2Ge
_symmetry_space_group_name_H-M 'C 1 2/m 1'
_symmetry_Int_Tables_number 12
_cell_length_a 8.8849
_cell_length_b 12.0199
_cell_length_c 8.7200
_cell_angle_alpha 90.00
_cell_angle_beta 120.04
_cell_angle_gamma 90.00
loop_
_symmetry_equiv_pos_as_xyz
'x,y,z'
'-x,-y,-z'
'-x,y,-z'
'x,-y,z'
'x+1/2,y+1/2,z'
'-x+1/2,-y+1/2,-z'
'-x+1/2,y+1/2,-z'
'x+1/2,-y+1/2,z'
loop_
_atom_site_label
_atom_site_type_symbol
_atom_site_fract_x
_atom_site_fract_y
_atom_site_fract_z
Rb1 Rb 0.0378 0.1630 0.2632
Ga1 Ga 0.1936 0.5000 0.9043
Ga2 Ga 0.1979 0.5000 0.2913
Ge1 Ge 0.0000 0.3888 0.0000

Run ii
# Rb2Ga2Ge (GGA-PBE, optimized geometry)
# M_tot: 0.00 μB per atom
# N(E_F): 0.609 states/eV per atom
data_Rb2Ga2Ge
_symmetry_space_group_name_H-M 'P 4/m b m'
_symmetry_Int_Tables_number 127
_symmetry_space_group_name_Hall '-P 4 2ab'
_cell_length_a 7.0510
_cell_length_b 7.0510
_cell_length_c 6.0527
_cell_angle_alpha 90.00
_cell_angle_beta 90.00
_cell_angle_gamma 90.00
loop_
_atom_site_label
_atom_site_type_symbol
_atom_site_fract_x
_atom_site_fract_y
_atom_site_fract_z
Rb1 Rb 0.1883 0.3117 0.0000
Ga1 Ga 0.1294 0.6294 0.5000
Ge1 Ge 0.0000 0.0000 0.5000

Stability, highest: run i

Run i
# Rb2Ga2Ge (GGA-PBE, optimized geometry)
# M_tot: 0.00 μB per atom
# N(E_F): 0.465 states/eV per atom
data_Rb2Ga2Ge
_symmetry_space_group_name_H-M 'C m c m'
_symmetry_Int_Tables_number 63
_symmetry_space_group_name_Hall '-C 2c 2'
_cell_length_a 11.1611
_cell_length_b 8.0964
_cell_length_c 7.7314
_cell_angle_alpha 90.00
_cell_angle_beta 90.00
_cell_angle_gamma 90.00
loop_
_atom_site_label
_atom_site_type_symbol
_atom_site_fract_x
_atom_site_fract_y
_atom_site_fract_z
Rb1 Rb 0.1926 0.0000 0.0000
Ga1 Ga 0.0000 0.3560 0.0914
Ge1 Ge 0.0000 0.3257 0.7500

Run ii
# Rb2Ga2Ge (GGA-PBE, optimized geometry)
# M_tot: 0.11 μB per atom
# N(E_F): 0.647 states/eV per atom
data_Rb2Ga2Ge
_symmetry_space_group_name_H-M 'I 4/m m m'
_symmetry_Int_Tables_number 139
_symmetry_space_group_name_Hall '-I 4 2'
_cell_length_a 3.7774
_cell_length_b 3.7774
_cell_length_c 23.6318
_cell_angle_alpha 90.00
_cell_angle_beta 90.00
_cell_angle_gamma 90.00
loop_
_atom_site_label
_atom_site_type_symbol
_atom_site_fract_x
_atom_site_fract_y
_atom_site_fract_z
Rb1 Rb 0.0000 0.0000 0.1032
Ga1 Ga 0.0000 0.5000 0.2500
Ge1 Ge 0.0000 0.0000 0.5000

Stability, highest: run i

Run i
# Ga3ReGe (GGA-PBE, optimized geometry)
# M_tot: 0.00 μB per atom
# N(E_F): 0.324 states/eV per atom
data_Ga3ReGe
_symmetry_space_group_name_H-M 'I -4 m 2'
_symmetry_Int_Tables_number 119
_symmetry_space_group_name_Hall 'I -4 -2'
_cell_length_a 4.9264
_cell_length_b 4.9264
_cell_length_c 18.0769
_cell_angle_alpha 90.00
_cell_angle_beta 90.00
_cell_angle_gamma 90.00
loop_
_atom_site_label
_atom_site_type_symbol
_atom_site_fract_x
_atom_site_fract_y
_atom_site_fract_z
Ga1 Ga 0.0000 0.0000 0.1574
Ga2 Ga 0.0000 0.2439 0.6242
Re1 Re 0.0000 0.5000 0.1847
Ge1 Ge 0.0000 0.0000 0.5000
Ge2 Ge 0.0000 0.5000 0.7500

Run ii
# Ga3ReGe (GGA-PBE, optimized geometry)
# M_tot: 0.00 μB per atom
# N(E_F): 0.336 states/eV per atom
data_Ga3ReGe
_symmetry_space_group_name_H-M 'R 3 m'
_symmetry_Int_Tables_number 160
_symmetry_space_group_name_Hall 'R 3 -2"'
_cell_length_a 5.4718
_cell_length_b 5.4718
_cell_length_c 11.7517
_cell_angle_alpha 90.00
_cell_angle_beta 90.00
_cell_angle_gamma 120.00
loop_
_atom_site_label
_atom_site_type_symbol
_atom_site_fract_x
_atom_site_fract_y
_atom_site_fract_z
Ga1 Ga 0.1691 0.3382 0.0000
Re1 Re 0.0000 0.0000 0.1648
Ge1 Ge 0.0000 0.0000 0.7997

Run iii
# Ga3ReGe (GGA-PBE, optimized geometry)
# M_tot: 0.00 μB per atom
# N(E_F): 0.384 states/eV per atom
data_Ga3ReGe
_symmetry_space_group_name_H-M 'C 1 2/c 1'
_symmetry_Int_Tables_number 15
_cell_length_a 16.2109
_cell_length_b 10.0140
_cell_length_c 4.9710
_cell_angle_alpha 90.00
_cell_angle_beta 95.99
_cell_angle_gamma 90.00
loop_
_symmetry_equiv_pos_as_xyz
'x,y,z'
'-x,-y,-z'
'-x,y,-z+1/2'
'x,-y,z+1/2'
'x+1/2,y+1/2,z'
'-x+1/2,-y+1/2,-z'
'-x+1/2,y+1/2,-z+1/2'
'x+1/2,-y+1/2,z+1/2'
loop_
_atom_site_label
_atom_site_type_symbol
_atom_site_fract_x
_atom_site_fract_y
_atom_site_fract_z
Ga1 Ga 0.0890 0.2354 0.2102
Ga2 Ga 0.1092 0.1121 0.7159
Ga3 Ga 0.1299 0.4210 0.6187
Re1 Re 0.0000 0.2790 0.7500
Re2 Re 0.0000 0.4499 0.2500
Ge1 Ge 0.2136 0.0717 0.2781

Stability, highest: run iii

Run i
# Ga2GeRh2 (GGA-PBE, optimized geometry)
# M_tot: 0.00 μB per atom
# N(E_F): 0.637 states/eV per atom
data_Ga2GeRh2
_symmetry_space_group_name_H-M 'P 4/m b m'
_symmetry_Int_Tables_number 127
_symmetry_space_group_name_Hall '-P 4 2ab'
_cell_length_a 7.2627
_cell_length_b 7.2627
_cell_length_c 2.9356
_cell_angle_alpha 90.00
_cell_angle_beta 90.00
_cell_angle_gamma 90.00
loop_
_atom_site_label
_atom_site_type_symbol
_atom_site_fract_x
_atom_site_fract_y
_atom_site_fract_z
Ga1 Ga 0.1451 0.3549 0.0000
Ge1 Ge 0.0000 0.0000 0.5000
Rh1 Rh 0.1520 0.6520 0.5000

Run ii
# Ga2GeRh2 (GGA-PBE, optimized geometry)
# M_tot: 0.00 μB per atom
# N(E_F): 0.408 states/eV per atom
data_Ga2GeRh2
_symmetry_space_group_name_H-M 'P -3 m 1'
_symmetry_Int_Tables_number 164
_symmetry_space_group_name_Hall '-P 3 2"'
_cell_length_a 4.1978
_cell_length_b 4.1978
_cell_length_c 5.2691
_cell_angle_alpha 90.00
_cell_angle_beta 90.00
_cell_angle_gamma 120.00
loop_
_atom_site_label
_atom_site_type_symbol
_atom_site_fract_x
_atom_site_fract_y
_atom_site_fract_z
Ga1 Ga 0.3333 0.6667 0.3686
Ge1 Ge 0.0000 0.0000 0.0000
Rh1 Rh 0.3333 0.6667 0.8504

Run iii
# Ga2GeRh2 (GGA-PBE, optimized geometry)
# M_tot: 0.00 μB per atom
# N(E_F): 0.587 states/eV per atom
data_Ga2GeRh2
_symmetry_space_group_name_H-M 'I 4/m m m'
_symmetry_Int_Tables_number 139
_symmetry_space_group_name_Hall '-I 4 2'
_cell_length_a 3.5359
_cell_length_b 3.5359
_cell_length_c 12.6759
_cell_angle_alpha 90.00
_cell_angle_beta 90.00
_cell_angle_gamma 90.00
loop_
_atom_site_label
_atom_site_type_symbol
_atom_site_fract_x
_atom_site_fract_y
_atom_site_fract_z
Ga1 Ga 0.0000 0.5000 0.2500
Ge1 Ge 0.0000 0.0000 0.0000
Rh1 Rh 0.0000 0.0000 0.3952

Stability, highest: run ii

Run i
# Ga3GeRh (GGA-PBE, optimized geometry)
# M_tot: 0.00 μB per atom
# N(E_F): 0.532 states/eV per atom
data_Ga3GeRh
_symmetry_space_group_name_H-M 'I -4 m 2'
_symmetry_Int_Tables_number 119
_symmetry_space_group_name_Hall 'I -4 -2'
_cell_length_a 4.9933
_cell_length_b 4.9933
_cell_length_c 16.5765
_cell_angle_alpha 90.00
_cell_angle_beta 90.00
_cell_angle_gamma 90.00
loop_
_atom_site_label
_atom_site_type_symbol
_atom_site_fract_x
_atom_site_fract_y
_atom_site_fract_z
Ga1 Ga 0.0000 0.0000 0.1946
Ga2 Ga 0.0000 0.2500 0.3745
Ge1 Ge 0.0000 0.5000 0.5600
Rh1 Rh 0.0000 0.0000 0.5000
Rh2 Rh 0.0000 0.5000 0.2500

Run ii
# Ga3GeRh (GGA-PBE, optimized geometry)
# M_tot: 0.00 μB per atom
# N(E_F): 0.785 states/eV per atom
data_Ga3GeRh
_symmetry_space_group_name_H-M 'P m -3 m'
_symmetry_Int_Tables_number 221
_symmetry_space_group_name_Hall '-P 4 2 3'
_cell_length_a 4.7835
_cell_length_b 4.7835
_cell_length_c 4.7835
_cell_angle_alpha 90.00
_cell_angle_beta 90.00
_cell_angle_gamma 90.00
loop_
_atom_site_label
_atom_site_type_symbol
_atom_site_fract_x
_atom_site_fract_y
_atom_site_fract_z
Ga1 Ga 0.0000 0.0000 0.5000
Ge1 Ge 0.0000 0.0000 0.0000
Rh1 Rh 0.5000 0.5000 0.5000

Stability, highest: run i

Run i
# Ga2GeRh8 (GGA-PBE, optimized geometry)
# M_tot: 0.00 μB per atom
# N(E_F): 1.389 states/eV per atom
data_Ga2GeRh8
_symmetry_space_group_name_H-M 'C 1 2/m 1'
_symmetry_Int_Tables_number 12
_cell_length_a 15.1109
_cell_length_b 4.0610
_cell_length_c 5.4133
_cell_angle_alpha 90.00
_cell_angle_beta 102.50
_cell_angle_gamma 90.00
loop_
_symmetry_equiv_pos_as_xyz
'x,y,z'
'-x,-y,-z'
'-x,y,-z'
'x,-y,z'
'x+1/2,y+1/2,z'
'-x+1/2,-y+1/2,-z'
'-x+1/2,y+1/2,-z'
'x+1/2,-y+1/2,z'
loop_
_atom_site_label
_atom_site_type_symbol
_atom_site_fract_x
_atom_site_fract_y
_atom_site_fract_z
Ga1 Ga 0.1852 0.0000 0.2401
Ge1 Ge 0.0000 0.5000 0.5000
Rh1 Rh 0.0207 0.0000 0.2477
Rh2 Rh 0.0989 0.5000 0.9571
Rh3 Rh 0.1544 0.5000 0.4842
Rh4 Rh 0.2098 0.0000 0.8071

Run ii
# Ga2GeRh8 (GGA-PBE, optimized geometry)
# M_tot: 0.00 μB per atom
# N(E_F): 0.957 states/eV per atom
data_Ga2GeRh8
_symmetry_space_group_name_H-M 'I m m m'
_symmetry_Int_Tables_number 71
_symmetry_space_group_name_Hall '-I 2 2'
_cell_length_a 4.1107
_cell_length_b 6.6429
_cell_length_c 11.7365
_cell_angle_alpha 90.00
_cell_angle_beta 90.00
_cell_angle_gamma 90.00
loop_
_atom_site_label
_atom_site_type_symbol
_atom_site_fract_x
_atom_site_fract_y
_atom_site_fract_z
Ga1 Ga 0.0000 0.0000 0.1969
Ge1 Ge 0.0000 0.0000 0.5000
Rh1 Rh 0.0000 0.1952 0.0000
Rh2 Rh 0.0000 0.2797 0.3462
Rh3 Rh 0.0000 0.5000 0.1451

Stability, highest: run ii

Run i
# Ga2Ge2Ru (GGA-PBE, optimized geometry)
# M_tot: 0.06 μB per atom
# N(E_F): 0.716 states/eV per atom
data_Ga2Ge2Ru
_symmetry_space_group_name_H-M 'I 4/m m m'
_symmetry_Int_Tables_number 139
_symmetry_space_group_name_Hall '-I 4 2'
_cell_length_a 3.3833
_cell_length_b 3.3833
_cell_length_c 16.1943
_cell_angle_alpha 90.00
_cell_angle_beta 90.00
_cell_angle_gamma 90.00
loop_
_atom_site_label
_atom_site_type_symbol
_atom_site_fract_x
_atom_site_fract_y
_atom_site_fract_z
Ga1 Ga 0.0000 0.5000 0.2500
Ge1 Ge 0.0000 0.0000 0.0843
Ru1 Ru 0.0000 0.0000 0.5000

Run ii
# Ga2Ge2Ru (GGA-PBE, optimized geometry)
# M_tot: 0.00 μB per atom
# N(E_F): 0.728 states/eV per atom
data_Ga2Ge2Ru
_symmetry_space_group_name_H-M 'P 4/m b m'
_symmetry_Int_Tables_number 127
_symmetry_space_group_name_Hall '-P 4 2ab'
_cell_length_a 6.4751
_cell_length_b 6.4751
_cell_length_c 4.1588
_cell_angle_alpha 90.00
_cell_angle_beta 90.00
_cell_angle_gamma 90.00
loop_
_atom_site_label
_atom_site_type_symbol
_atom_site_fract_x
_atom_site_fract_y
_atom_site_fract_z
Ga1 Ga 0.1776 0.3224 0.0000
Ge1 Ge 0.1400 0.6400 0.5000
Ru1 Ru 0.0000 0.0000 0.5000

Stability, highest: run ii

Run i
# GaGeRu (GGA-PBE, optimized geometry)
# M_tot: 0.00 μB per atom
# N(E_F): 0.673 states/eV per atom
data_GaGeRu
_symmetry_space_group_name_H-M 'P -6 m 2'
_symmetry_Int_Tables_number 187
_symmetry_space_group_name_Hall 'P -6 2'
_cell_length_a 4.2235
_cell_length_b 4.2235
_cell_length_c 3.0869
_cell_angle_alpha 90.00
_cell_angle_beta 90.00
_cell_angle_gamma 120.00
loop_
_atom_site_label
_atom_site_type_symbol
_atom_site_fract_x
_atom_site_fract_y
_atom_site_fract_z
Ga1 Ga 0.0000 0.0000 0.0000
Ge1 Ge 0.6667 0.3333 0.5000
Ru1 Ru 0.3333 0.6667 0.5000

Run ii
# GaGeRu (GGA-PBE, optimized geometry)
# M_tot: 0.14 μB per atom
# N(E_F): 0.497 states/eV per atom
data_GaGeRu
_symmetry_space_group_name_H-M 'I 4 m m'
_symmetry_Int_Tables_number 107
_symmetry_space_group_name_Hall 'I 4 -2'
_cell_length_a 3.2896
_cell_length_b 3.2896
_cell_length_c 8.1919
_cell_angle_alpha 90.00
_cell_angle_beta 90.00
_cell_angle_gamma 90.00
loop_
_atom_site_label
_atom_site_type_symbol
_atom_site_fract_x
_atom_site_fract_y
_atom_site_fract_z
Ga1 Ga 0.0000 0.0000 0.0000
Ge1 Ge 0.0000 0.0000 0.3229
Ru1 Ru 0.0000 0.0000 0.6669

Stability, highest: run ii